The following is a DFT calculation (PBEsol) of an optimized crystal structure of BeBi3Mo.

## Properties
**E_form**: 1081 meV/atom
**Symmetry**: No. 221

Cell: 5.3072 5.3072 5.3072 Å, 90.00 90.00 90.00°
Fractional coordinates of all 5 atoms:
Be  0.0000  0.0000  0.0000
Bi  0.0000  0.5000  0.5000
Bi  0.5000  0.0000  0.5000
Bi  0.5000  0.5000  0.0000
Mo  0.5000  0.5000  0.5000

***

The following is a DFT calculation (PBEsol) of an optimized crystal structure of ScAg3.

## Properties
**E_form**: -69 meV/atom
**Symmetry**: No. 65

Cell: 5.9137 7.9425 3.0192 Å, 90.00 90.00 90.00°
Fractional coordinates of all 8 atoms:
Sc  0.0000  0.0000  0.0000
Sc  0.5000  0.5000  0.0000
Ag  0.0000  0.5000  0.0000
Ag  0.2500  0.2500  0.5000
Ag  0.2500  0.7500  0.5000
Ag  0.5000  0.0000  0.0000
Ag  0.7500  0.2500  0.5000
Ag  0.7500  0.7500  0.5000

***

The following is a DFT calculation (PBEsol) of an optimized crystal structure of MoAs2Se.

## Properties
**Formation energy without anion corrections**: 0.18 eV per atom
**Symmetry**: No. 65

Cell: 3.3668 4.4548 9.8898 Å, 90.00 90.00 90.00°
Fractional coordinates of all 8 atoms:
Mo  0.0000  0.0000  0.0000
Mo  0.5000  0.5000  0.0000
As  0.0000  0.5000  0.2017
As  0.0000  0.5000  0.7983
As  0.5000  0.0000  0.2017
As  0.5000  0.0000  0.7983
Se  0.0000  0.0000  0.5000
Se  0.5000  0.5000  0.5000

***

The following is a DFT calculation (PBEsol) of an optimized crystal structure of CaFeGe2Pd.

## Properties
**E_form**: 507 meV/atom
**Symmetry**: No. 123

Cell: 4.7172 4.7172 5.1689 Å, 90.00 90.00 90.00°
Fractional coordinates of all 5 atoms:
Ca  0.0000  0.0000  0.0000
Fe  0.5000  0.5000  0.0000
Ge  0.0000  0.5000  0.5000
Ge  0.5000  0.0000  0.5000
Pd  0.0000  0.0000  0.5000

***

What are the N(E_F) values for these records? In order: 0.85 0.66 0.68 1.22 states/eV/atom.
What are the calculated total energy values for these records? In order: -23.22 -16.81 -25.12 -24.40 eV per formula unit.